Record 1
Density functional theory data (GGA-PBE) for a relaxed structure of PmNdHo2N4.

Uncorrected formation energy ... -1549 meV per atom

Unit cell a=6.1318 b=3.5422 c=6.1397 alpha=90.00 beta=109.41 gamma=90.00
Space group P2/m (No. 10)
Inequivalent atoms, fractional coordinates:
Pm 0.0000 0.0000 0.0000 [1 per cell]
Nd 0.5000 0.5000 0.0000 [1 per cell]
Ho 0.0000 0.5000 0.5000 [1 per cell]
Ho 0.5000 0.0000 0.5000 [1 per cell]
N 0.2451 0.0000 0.7384 [2 per cell]
N 0.2525 0.5000 0.2608 [2 per cell]

---

Record 2
Density functional theory data (GGA-PBE) for a relaxed structure of CaTl3Ni.

DFT formation energy ... -0.02 eV/atom

Unit cell a=5.1405 b=5.1405 c=5.1405 alpha=90.00 beta=90.00 gamma=90.00
Space group Pm-3m (No. 221)
Inequivalent atoms, fractional coordinates:
Ca 0.0000 0.0000 0.0000 [1 per cell]
Tl 0.0000 0.5000 0.5000 [3 per cell]
Ni 0.5000 0.5000 0.5000 [1 per cell]

---

Record 3
Density functional theory data (GGA-PBE) for a relaxed structure of LiPrP2Pd.

DFT formation energy ... -1.00 eV/atom

Unit cell a=4.0973 b=4.0973 c=10.1881 alpha=90.00 beta=90.00 gamma=90.00
Space group I-4m2 (No. 119)
Inequivalent atoms, fractional coordinates:
Li 0.0000 0.0000 0.0000 [2 per cell]
Pr 0.0000 0.5000 0.2500 [2 per cell]
P 0.0000 0.5000 0.6384 [4 per cell]
Pd 0.0000 0.0000 0.5000 [2 per cell]

---

no.,magnetization (μB per formula unit)
1,0.0
2,0.0
3,0.0